An optimized crystal structure of AlRe2Mo, computed with PBE.

calculated formation energy	0.00	eV per atom
crystal system	monoclinic
spin magnetization	0.00	μB per formula unit
final energy	-0.725	Ry/atom

Cell: 5.4256 8.7431 2.7364 Å, 90.00 112.27 90.00°
Last column: nearest neighbours and their distance in Å.
Space group C2/m (No. 12)
Inequivalent atoms, fractional coordinates:
Al 0.0000 0.0000 0.0000 (multiplicity 2)  4 Re 2.66, 2 Mo 2.71, 2 Al 2.74
Re 0.2500 0.2500 0.5000 (multiplicity 4)  2 Mo 2.66, 2 Al 2.66, 4 Re 2.71-2.74
Mo 0.0000 0.5000 0.0000 (multiplicity 2)  4 Re 2.66, 2 Al 2.71, 2 Mo 2.74

***

An optimized crystal structure of AlZn2Hg, computed with PBE.

calculated formation energy	0.16	eV per atom
polymorph energy (0 for the lowest one)	0.054	eV/atom
crystal system	orthorhombic
spin magnetization	0.00	μB per formula unit
final energy	-0.109	Ry/atom

Cell: 2.8529 5.5012 9.6063 Å, 90.00 90.00 90.00°
Last column: nearest neighbours and their distance in Å.
Space group Cmm2 (No. 35)
Inequivalent atoms, fractional coordinates:
Al 0.0000 0.0000 0.0000 (multiplicity 2)  2 Zn 2.69, 2 Al 2.85, 2 Hg 2.96
Zn 0.0000 0.0000 0.4664 (multiplicity 2)  4 Zn 2.62-2.85, 2 Hg 2.91
Zn 0.0000 0.5000 0.2379 (multiplicity 2)  4 Zn 2.62-2.85, 2 Al 2.69
Hg 0.0000 0.5000 0.7299 (multiplicity 2)  6 Hg 2.85-3.10, 2 Zn 2.91, 2 Al 2.96

***

An optimized crystal structure of Er3Th2Sc8, computed with PBE.

calculated formation energy	0.58	eV per atom
crystal system	trigonal
spin magnetization	0.96	μB per formula unit
final energy	-0.405	Ry/atom

Cell: 6.1462 6.1462 42.0699 Å, 90.00 90.00 120.00°
Last column: nearest neighbours and their distance in Å.
Space group R-3m (No. 166, hexagonal axes)
Inequivalent atoms, fractional coordinates:
Er 0.0000 0.0000 0.0000 (multiplicity 3)  6 Th 3.55, 2 Sc 3.79
Er 0.0000 0.0000 0.4591 (multiplicity 6)  3 Sc 3.13, 1 Er 3.44
Th 0.0000 0.0000 0.3329 (multiplicity 6)  6 Sc 3.22-3.23, 3 Er 3.55, 3 Th 3.55
Sc 0.0000 0.0000 0.0901 (multiplicity 6)  6 Sc 3.26
Sc 0.0035 0.5018 0.0641 (multiplicity 18)  6 Sc 3.04-3.26, 1 Er 3.13, 2 Th 3.22-3.23

***

An optimized crystal structure of Th2GaSiRu6, computed with PBE.

energy relative to the elements, uncorrected	-67	meV/atom
crystal system	cubic
spin magnetization	0.00	μB per formula unit
final energy	-0.585	Ry/atom

Cell: 9.0698 9.0698 9.0698 Å, 90.00 90.00 90.00°
Last column: nearest neighbours and their distance in Å.
Space group Fm-3m (No. 225)
Inequivalent atoms, fractional coordinates:
Th 0.2500 0.2500 0.2500 (multiplicity 8)  12 Ru 3.21
Ga 0.0000 0.0000 0.0000 (multiplicity 4)  6 Ru 2.32
Si 0.0000 0.0000 0.5000 (multiplicity 4)  6 Ru 2.21
Ru 0.0000 0.0000 0.2560 (multiplicity 24)  1 Si 2.21, 1 Ga 2.32